[1]
# K3HoPu3Se8

A geometry-optimized K3HoPu3Se8 structure (GGA-PBE, the Alexandria database).

Cell and atoms, written as extended XYZ:
```
15
Lattice="7.2958 -4.2121 0.0000 7.2958 4.2121 0.0000 -4.8721 0.0000 7.7397" Properties=species:S:1:pos:R:3 pbc="T T T"
K 0.0000 0.0000 0.0000
K 3.6479 2.1060 0.0000
K 3.6479 -2.1060 0.0000
Ho -2.4361 0.0000 3.8699
Pu 1.2118 2.1060 3.8699
Pu 1.2118 -2.1060 3.8699
Pu 4.8597 0.0000 3.8699
Se -0.0076 0.0000 5.4138
Se 3.6458 2.1094 5.4128
Se 2.4280 0.0000 2.3017
Se 6.0737 2.1094 2.3270
Se 3.6458 -2.1094 5.4128
Se 7.2915 0.0000 5.4380
Se 6.0737 -2.1094 2.3270
Se 9.7271 0.0000 2.3259
```

The calculation puts the formation energy from raw total energies at -1510 meV/atom. The space-group type is C2/m (12). The total moment is 0.933 μB/atom. For the total energy, the calculation gives -6.76 eV/atom.

[2]
# CuRe2Te

A geometry-optimized CuRe2Te structure (GGA-PBE, the Alexandria database).

Cell and atoms, written as extended XYZ:
```
4
Lattice="3.0152 0.0000 0.0000 0.0000 3.0252 0.0000 -0.0091 0.0000 8.0116" Properties=species:S:1:pos:R:3 pbc="T T T"
Cu 0.0000 0.0000 0.0000
Re 1.4971 1.5126 6.2618
Re 3.0051 0.0000 4.8232
Te 2.9999 1.5126 2.4085
```

The calculation puts the formation energy from raw total energies at 433 meV/atom. The space-group type is Pm (6). The total moment is 0.000 μB/atom. For the total energy, the calculation gives -7.60 eV/atom.

> Among the records above, which one has the lowest formation energy from raw total energies?

K3HoPu3Se8